Compound: TaCoN2O
Source: Alexandria via LeMat-Bulk
Functional: PBE with a Hubbard U
Structure: relaxed

Lattice parameters (Å, degrees): 3.651 3.651 3.514 90.00 90.00 90.00
Positions (direct):
1 O 0.000 0.000 0.500
2 Ta 0.500 0.500 0.500
3 Co 0.000 0.000 0.000
4 N 0.500 0.000 0.000
5 N 0.000 0.500 0.000

Summary:
Its space group is No. 123. As for the total energy: -37.13 eV/cell. The crystal system is tetragonal.